A plane-wave DFT calculation with PBE was carried out for YZn2Au2 after structural relaxation.

a = 3.9579 Å, b = 3.9579 Å, c = 12.5946 Å
α = 90.00°, β = 90.00°, γ = 90.00°
Closest atoms and distances in Å follow each position.
Fractional positions:
Y 0.0000 0.0000 0.0000  8 Au 3.12
Y 0.5000 0.5000 0.5000  8 Au 3.12
Zn 0.0000 0.5000 0.2500  4 Au 2.66, 4 Zn 2.80
Zn 0.0000 0.5000 0.7500  4 Au 2.66, 4 Zn 2.80
Zn 0.5000 0.0000 0.2500  4 Au 2.66, 4 Zn 2.80
Zn 0.5000 0.0000 0.7500  4 Au 2.66, 4 Zn 2.80
Au 0.0000 0.0000 0.3910  4 Zn 2.66, 1 Au 2.74
Au 0.0000 0.0000 0.6090  4 Zn 2.66, 1 Au 2.74
Au 0.5000 0.5000 0.1090  4 Zn 2.66, 1 Au 2.74
Au 0.5000 0.5000 0.8910  4 Zn 2.66, 1 Au 2.74

## Properties
The energy above the most stable polymorph in this dataset is 0 meV/atom. For the energy of formation, the calculation gives -53.1 kJ per mole of atoms. As for the crystal system: tetragonal. As for the calculated density: 10330 kg/m3.